Material: SnMo3F
Method: DFT, GGA+U
State: relaxed

E above lowest polymorph = 0.000 eV/f.u.

a = 4.3723 Å, b = 4.3723 Å, c = 4.3723 Å
α = 90.00°, β = 90.00°, γ = 90.00°
Last column: nearest neighbours and their distance in Å.
Space group Pm-3m (No. 221)
Inequivalent atoms, fractional coordinates:
Sn  0.0000  0.0000  0.0000 (multiplicity 1)  12 Mo 3.09
Mo  0.0000  0.5000  0.5000 (multiplicity 3)  2 F 2.19
F  0.5000  0.5000  0.5000 (multiplicity 1)  6 Mo 2.19